No. 1
Here is Ta2NiP after structural relaxation from Alexandria. Energies are from PBE-GGA.

Lattice parameters (Å, degrees): 3.7088 4.5041 7.1047 90.00 90.00 90.00
Sites, in units of the cell vectors:
Ta  0.0000  0.0000  0.2437
Ta  0.0000  0.0000  0.7563
Ta  0.5000  0.5000  0.2437
Ta  0.5000  0.5000  0.7563
Ni  0.0000  0.5000  0.5000
Ni  0.5000  0.0000  0.5000
P  0.0000  0.5000  0.0000
P  0.5000  0.0000  0.0000

Summary:
E_form in eV per atom: -0.250

=====

No. 2
Here is NdReSi2Tc after structural relaxation from Alexandria. Energies are from PBE-GGA.

Lattice parameters (Å, degrees): 4.1506 4.1506 10.3953 90.00 90.00 90.00
Sites, in units of the cell vectors:
Nd  0.0000  0.0000  0.0000
Nd  0.5000  0.5000  0.5000
Re  0.0000  0.5000  0.7500
Re  0.5000  0.0000  0.2500
Si  0.0000  0.0000  0.3756
Si  0.0000  0.0000  0.6244
Si  0.5000  0.5000  0.1244
Si  0.5000  0.5000  0.8756
Tc  0.0000  0.5000  0.2500
Tc  0.5000  0.0000  0.7500

Summary:
Formation energy from raw total energies in eV/atom: -0.52

=====

No. 3
Here is Mg2ZnCdOs after structural relaxation from Alexandria. Energies are from PBE-GGA.

Lattice parameters (Å, degrees): 5.0001 5.0001 5.2067 90.00 90.00 90.00
Sites, in units of the cell vectors:
Mg  0.0000  0.5000  0.0000
Mg  0.5000  0.0000  0.0000
Zn  0.0000  0.0000  0.5000
Cd  0.5000  0.5000  0.5000
Os  0.5000  0.5000  0.0000

Summary:
E_form in eV per atom: 0.740